# 1
# TlBPdW2 meta-GGA SCAN single point on PBEsol structure
# Total moment, μB/f.u.: 0.00
# Energy relative to the elements, eV/atom: 0.96
# VASP energy, eV/atom: -49.427
data_TlBPdW2
_chemical_formula_sum 'Tl1 B1 Pd1 W2'
_space_group_name_H-M_alt 'P 1'
_space_group_IT_number 1
_cell_length_a 4.162
_cell_length_b 4.162
_cell_length_c 4.531
_cell_angle_alpha 90.00
_cell_angle_beta 90.00
_cell_angle_gamma 90.00
loop_
_space_group_symop_operation_xyz
'x,y,z'
loop_
_atom_site_label
_atom_site_type_symbol
_atom_site_fract_x
_atom_site_fract_y
_atom_site_fract_z
W1 W 0.000 0.500 0.000
W2 W 0.500 0.000 0.000
B1 B 0.000 0.000 0.000
Pd1 Pd 0.500 0.500 0.500
Tl1 Tl 0.000 0.000 0.500

# 2
# AlB2Pb6O7F7 meta-GGA SCAN single point on PBEsol structure
# Total moment, μB/f.u.: 0.00
# ΔE_f (raw), kJ/mol of atoms: -222
# VASP energy, eV/atom: -26.031
data_AlB2Pb6O7F7
_chemical_formula_sum 'Al2 B4 Pb12 O14 F14'
_space_group_name_H-M_alt 'P 1'
_space_group_IT_number 1
_cell_length_a 6.257
_cell_length_b 10.844
_cell_length_c 10.844
_cell_angle_alpha 114.40
_cell_angle_beta 90.00
_cell_angle_gamma 90.00
loop_
_space_group_symop_operation_xyz
'x,y,z'
loop_
_atom_site_label
_atom_site_type_symbol
_atom_site_fract_x
_atom_site_fract_y
_atom_site_fract_z
Al1 Al 0.470 0.746 0.254
F1 F 0.194 0.187 0.813
O1 O 0.251 0.386 0.276
Al2 Al 0.970 0.254 0.746
O2 O 0.309 0.165 0.104
F2 F 0.117 0.417 0.803
O3 O 0.258 0.674 0.326
Pb1 Pb 0.020 0.808 0.500
O4 O 0.809 0.104 0.165
Pb2 Pb 0.520 0.500 0.808
O5 O 0.758 0.326 0.674
F3 F 0.842 0.087 0.687
Pb3 Pb 0.498 0.316 0.033
F4 F 0.342 0.687 0.087
F5 F 0.904 0.586 0.414
F6 F 0.617 0.803 0.417
O6 O 0.751 0.614 0.724
F7 F 0.404 0.414 0.586
Pb4 Pb 0.998 0.684 0.967
F8 F 0.617 0.583 0.197
Pb5 Pb 0.498 0.967 0.684
F9 F 0.109 0.910 0.090
Pb6 Pb 0.480 0.569 0.431
O7 O 0.251 0.724 0.614
O8 O 0.309 0.896 0.835
O9 O 0.743 0.807 0.667
F10 F 0.342 0.913 0.313
Pb7 Pb 0.496 0.947 0.053
F11 F 0.842 0.313 0.913
B1 B 0.765 0.239 0.248
B2 B 0.265 0.248 0.239
F12 F 0.117 0.197 0.583
B3 B 0.265 0.761 0.752
B4 B 0.765 0.752 0.761
O10 O 0.243 0.667 0.807
F13 F 0.609 0.090 0.910
Pb8 Pb 0.998 0.033 0.316
O11 O 0.809 0.835 0.896
O12 O 0.751 0.276 0.386
Pb9 Pb 0.020 0.500 0.192
O13 O 0.243 0.193 0.333
F14 F 0.694 0.813 0.187
Pb10 Pb 0.520 0.192 0.500
Pb11 Pb 0.996 0.053 0.947
O14 O 0.743 0.333 0.193
Pb12 Pb 0.980 0.431 0.569

# 3
# MnSi2Cl meta-GGA SCAN single point on PBEsol structure
# Energy above the most stable polymorph in this dataset, eV per atom: 0.037
# Total moment, μB/f.u.: 1.12
# ΔE_f (raw), kJ/mol of atoms: 22
# VASP energy, eV/atom: -11.339
data_MnSi2Cl
_chemical_formula_sum 'Mn1 Si2 Cl1'
_space_group_name_H-M_alt 'P 1'
_space_group_IT_number 1
_cell_length_a 2.850
_cell_length_b 2.850
_cell_length_c 6.806
_cell_angle_alpha 90.00
_cell_angle_beta 90.00
_cell_angle_gamma 90.00
loop_
_space_group_symop_operation_xyz
'x,y,z'
loop_
_atom_site_label
_atom_site_type_symbol
_atom_site_fract_x
_atom_site_fract_y
_atom_site_fract_z
Mn1 Mn 0.500 0.500 0.500
Cl1 Cl 0.500 0.500 0.000
Si1 Si 0.000 0.000 0.306
Si2 Si 0.000 0.000 0.694

# 4
# LiTlRu3 meta-GGA SCAN single point on PBEsol structure
# Total moment, μB/f.u.: 5.90
# Energy relative to the elements, eV/atom: 2.15
# VASP energy, eV/atom: -33.691
data_LiTlRu3
_chemical_formula_sum 'Li1 Tl1 Ru3'
_space_group_name_H-M_alt 'P 1'
_space_group_IT_number 1
_cell_length_a 4.976
_cell_length_b 4.976
_cell_length_c 4.976
_cell_angle_alpha 90.00
_cell_angle_beta 90.00
_cell_angle_gamma 90.00
loop_
_space_group_symop_operation_xyz
'x,y,z'
loop_
_atom_site_label
_atom_site_type_symbol
_atom_site_fract_x
_atom_site_fract_y
_atom_site_fract_z
Li1 Li 0.500 0.500 0.500
Ru1 Ru 0.000 0.000 0.500
Ru2 Ru 0.000 0.500 0.000
Tl1 Tl 0.000 0.000 0.000
Ru3 Ru 0.500 0.000 0.000

# 5
# La2AlTl meta-GGA SCAN single point on PBEsol structure
# Total moment, μB/f.u.: 0.00
# Energy relative to the elements, eV/atom: -0.17
# VASP energy, eV/atom: -41.748
data_La2AlTl
_chemical_formula_sum 'La2 Al1 Tl1'
_space_group_name_H-M_alt 'P 1'
_space_group_IT_number 1
_cell_length_a 3.571
_cell_length_b 4.609
_cell_length_c 6.614
_cell_angle_alpha 90.00
_cell_angle_beta 90.00
_cell_angle_gamma 90.00
loop_
_space_group_symop_operation_xyz
'x,y,z'
loop_
_atom_site_label
_atom_site_type_symbol
_atom_site_fract_x
_atom_site_fract_y
_atom_site_fract_z
Tl1 Tl 0.000 0.000 0.511
La1 La 0.500 0.500 0.241
La2 La 0.000 0.000 0.996
Al1 Al 0.500 0.500 0.752

# 6
# CaMg2 meta-GGA SCAN single point on PBEsol structure
# Total moment, μB/f.u.: 0.00
# Energy relative to the elements, eV/atom: -0.03
# VASP energy, eV/atom: -6.566
data_CaMg2
_chemical_formula_sum 'Ca2 Mg4'
_space_group_name_H-M_alt 'P 1'
_space_group_IT_number 1
_cell_length_a 4.207
_cell_length_b 5.212
_cell_length_c 7.821
_cell_angle_alpha 90.00
_cell_angle_beta 105.60
_cell_angle_gamma 90.00
loop_
_space_group_symop_operation_xyz
'x,y,z'
loop_
_atom_site_label
_atom_site_type_symbol
_atom_site_fract_x
_atom_site_fract_y
_atom_site_fract_z
Mg1 Mg 0.905 0.750 0.809
Mg2 Mg 0.743 0.250 0.486
Ca1 Ca 0.585 0.750 0.170
Mg3 Mg 0.095 0.250 0.191
Ca2 Ca 0.415 0.250 0.830
Mg4 Mg 0.257 0.750 0.514

# 7
# Li2TaW meta-GGA SCAN single point on PBEsol structure
# Energy above the most stable polymorph in this dataset, eV per atom: 0.358
# Total moment, μB/f.u.: 0.00
# Energy relative to the elements, eV/atom: 0.61
# VASP energy, eV/atom: -34.652
data_Li2TaW
_chemical_formula_sum 'Li2 Ta1 W1'
_space_group_name_H-M_alt 'P 1'
_space_group_IT_number 1
_cell_length_a 3.647
_cell_length_b 3.647
_cell_length_c 4.810
_cell_angle_alpha 90.00
_cell_angle_beta 90.00
_cell_angle_gamma 90.00
loop_
_space_group_symop_operation_xyz
'x,y,z'
loop_
_atom_site_label
_atom_site_type_symbol
_atom_site_fract_x
_atom_site_fract_y
_atom_site_fract_z
Li1 Li 0.000 0.500 0.000
Ta1 Ta 0.500 0.500 0.500
Li2 Li 0.500 0.000 0.000
W1 W 0.000 0.000 0.500

# 8
# La3Cu meta-GGA SCAN single point on PBEsol structure
# Total moment, μB/f.u.: 0.00
# Energy relative to the elements, eV/atom: -0.05
# VASP energy, eV/atom: -36.180
data_La3Cu
_chemical_formula_sum 'La3 Cu1'
_space_group_name_H-M_alt 'P 1'
_space_group_IT_number 1
_cell_length_a 3.612
_cell_length_b 3.612
_cell_length_c 8.566
_cell_angle_alpha 90.00
_cell_angle_beta 90.00
_cell_angle_gamma 90.00
loop_
_space_group_symop_operation_xyz
'x,y,z'
loop_
_atom_site_label
_atom_site_type_symbol
_atom_site_fract_x
_atom_site_fract_y
_atom_site_fract_z
La1 La 0.500 0.500 0.204
La2 La 0.500 0.500 0.796
Cu1 Cu 0.000 0.000 0.000
La3 La 0.000 0.000 0.500

# 9
# Cd2RhAu meta-GGA SCAN single point on PBEsol structure
# Total moment, μB/f.u.: 0.00
# Energy relative to the elements, eV/atom: -0.19
# VASP energy, eV/atom: -41.130
data_Cd2RhAu
_chemical_formula_sum 'Cd2 Rh1 Au1'
_space_group_name_H-M_alt 'P 1'
_space_group_IT_number 1
_cell_length_a 3.075
_cell_length_b 3.697
_cell_length_c 5.959
_cell_angle_alpha 90.00
_cell_angle_beta 90.00
_cell_angle_gamma 90.00
loop_
_space_group_symop_operation_xyz
'x,y,z'
loop_
_atom_site_label
_atom_site_type_symbol
_atom_site_fract_x
_atom_site_fract_y
_atom_site_fract_z
Cd1 Cd 0.000 0.000 0.238
Cd2 Cd 0.000 0.000 0.762
Rh1 Rh 0.500 0.500 0.000
Au1 Au 0.500 0.500 0.500

# 10
# CoTeAu2 meta-GGA SCAN single point on PBEsol structure
# Total moment, μB/f.u.: 2.26
# ΔE_f (raw), kJ/mol of atoms: 23
# VASP energy, eV/atom: -47.981
data_CoTeAu2
_chemical_formula_sum 'Co1 Te1 Au2'
_space_group_name_H-M_alt 'P 1'
_space_group_IT_number 1
_cell_length_a 2.941
_cell_length_b 2.941
_cell_length_c 8.448
_cell_angle_alpha 90.00
_cell_angle_beta 90.00
_cell_angle_gamma 90.01
loop_
_space_group_symop_operation_xyz
'x,y,z'
loop_
_atom_site_label
_atom_site_type_symbol
_atom_site_fract_x
_atom_site_fract_y
_atom_site_fract_z
Co1 Co 0.500 0.500 0.500
Au1 Au 0.000 0.000 0.693
Au2 Au 0.000 0.000 0.307
Te1 Te 0.500 0.500 0.000